1.
# Mg2PbCl6

A geometry-optimized Mg2PbCl6 structure (PBE, Alexandria via LeMat-Bulk).

Summary:
The density of states at the Fermi level comes out at 0.0 states/eV/cell. As for the space group: C2/m. Its total magnetization is 0.00 μB/f.u. For the uncorrected formation energy, the calculation gives -1554 meV per atom. Its final energy is -31.96 eV/cell. For the energy above the lowest structure with this stoichiometry, the calculation gives 57 meV per atom.

abc: 4.503 7.009 9.303
angles: 96.88 90.00 108.74
Element x y z (fractional)
Cl 0.192 0.383 0.891
Mg 0.751 0.503 0.828
Cl 0.916 0.832 0.769
Cl 0.639 0.278 0.597
Pb 0.000 0.000 0.500
Cl 0.808 0.617 0.109
Cl 0.361 0.722 0.403
Mg 0.249 0.497 0.172
Cl 0.084 0.168 0.231

2.
# CaTc2Te

A geometry-optimized CaTc2Te structure (PBE, Alexandria via LeMat-Bulk).

Summary:
The density of states at the Fermi level comes out at 4.1 states/eV/cell. As for the space group: Imm2. Its total magnetization is 0.00 μB/f.u. For the uncorrected formation energy, the calculation gives 295 meV per atom. Its final energy is -24.69 eV/cell.

abc: 5.471 5.471 5.471
angles: 140.32 124.50 70.36
Element x y z (fractional)
Tc 0.778 0.278 0.500
Te 0.529 0.529 0.000
Tc 0.947 0.947 0.000
Ca 0.247 0.747 0.500

3.
# CoPd2Rh

A geometry-optimized CoPd2Rh structure (PBE, Alexandria via LeMat-Bulk).

Summary:
The density of states at the Fermi level comes out at 7.2 states/eV/cell. The value obtained for the formation energy is 0.10 eV/atom. As for the space group: R-3m. Its total magnetization is 2.99 μB/f.u. Its final energy is -24.44 eV/cell. For the energy above the lowest structure with this stoichiometry, the calculation gives 0 meV per atom.

abc: 2.726 2.726 8.933
angles: 81.22 81.22 60.00
Site moments in Bohr magnetons follow the coordinates.
Element x y z (fractional)
Pd 0.254 0.254 0.239  0.32
Pd 0.746 0.746 0.761  0.32
Co 0.000 0.000 0.000  2.00
Rh 0.500 0.500 0.500  0.42

4.
# Ce2ErCu

A geometry-optimized Ce2ErCu structure (PBE, Alexandria via LeMat-Bulk).

Summary:
The density of states at the Fermi level comes out at 10.0 states/eV/cell. The value obtained for the formation energy is 0.06 eV/atom. As for the space group: P4/mmm. Its total magnetization is 0.17 μB/f.u. Its final energy is -20.29 eV/cell. For the energy above the lowest structure with this stoichiometry, the calculation gives 0 meV per atom.

abc: 3.612 3.612 7.999
angles: 90.00 90.00 90.00
Site moments in Bohr magnetons follow the coordinates.
Element x y z (fractional)
Ce 0.000 0.000 0.194  0.07
Ce 0.000 0.000 0.806  0.07
Er 0.500 0.500 0.500  0.01
Cu 0.500 0.500 0.000  0.00

5.
# LaRhAu3

A geometry-optimized LaRhAu3 structure (PBE, Alexandria via LeMat-Bulk).

Summary:
The density of states at the Fermi level comes out at 3.5 states/eV/cell. The value obtained for the formation energy is 1.03 eV/atom. As for the space group: Pm-3m. Its total magnetization is 1.54 μB/f.u. Its final energy is -16.97 eV/cell. For the energy above the lowest structure with this stoichiometry, the calculation gives 1040 meV per atom.

abc: 5.563 5.563 5.563
angles: 90.00 90.00 90.00
Site moments in Bohr magnetons follow the coordinates.
Element x y z (fractional)
Rh 0.500 0.500 0.500  1.47
Au 0.000 0.500 0.000  0.00
Au 0.500 0.000 0.000  -0.01
Au 0.000 0.000 0.500  0.01
La 0.000 0.000 0.000  -0.02

6.
# LaBe3Pt

A geometry-optimized LaBe3Pt structure (PBE, Alexandria via LeMat-Bulk).

Summary:
The density of states at the Fermi level comes out at 18.5 states/eV/cell. The value obtained for the formation energy is 0.10 eV/atom. As for the space group: Fd-3m. Its total magnetization is 0.46 μB/f.u. Its final energy is -86.50 eV/cell. For the energy above the lowest structure with this stoichiometry, the calculation gives 595 meV per atom.

abc: 8.497 8.497 8.497
angles: 60.00 60.00 60.00
Site moments in Bohr magnetons follow the coordinates.
Element x y z (fractional)
Pt 0.625 0.125 0.625  0.01
Be 0.357 0.643 0.643  0.00
Be 0.607 0.607 0.893  0.00
La 0.125 0.125 0.625  0.17
La 0.625 0.125 0.125  0.17
Be 0.643 0.643 0.357  0.00
Be 0.643 0.357 0.643  0.00
Be 0.357 0.357 0.643  -0.01
Pt 0.625 0.625 0.625  0.01
Be 0.893 0.893 0.607  -0.01
Be 0.643 0.357 0.357  0.00
Be 0.893 0.607 0.607  0.00
La 0.125 0.125 0.125  0.18
Be 0.607 0.893 0.607  0.00
La 0.125 0.625 0.125  0.17
Pt 0.125 0.625 0.625  0.03
Be 0.607 0.893 0.893  0.00
Pt 0.625 0.625 0.125  0.01
Be 0.893 0.607 0.893  0.00
Be 0.357 0.643 0.357  0.00